Here is an optimized crystal structure of Mn2InAgN from the Alexandria database. Energies are from PBE.

a = 5.1590 Å, b = 3.8602 Å, c = 5.1590 Å
α = 90.00°, β = 90.00°, γ = 90.00°
Each line ends with the local moment (μB).
Sites, in units of the cell vectors:
Mn1 0.0000 0.0000 0.5000  4.12
N1 0.0000 0.5000 0.0000  0.31
Ag1 0.0000 0.0000 0.0000  0.11
Mn2 0.5000 0.0000 0.0000  4.04
In1 0.5000 0.5000 0.5000  -0.11

Values from the calculation:
symmetry = P4/mmm
E = -5.11 eV per atom
DOS at the Fermi energy = 4.2 states/eV/f.u.



Here is an optimized crystal structure of Ac8Pt3CBr4 from the Alexandria database. Energies are from PBE.

a = 8.7494 Å, b = 9.6211 Å, c = 8.7499 Å
α = 117.05°, β = 120.00°, γ = 90.00°
Sites, in units of the cell vectors:
Pt1 0.5000 0.5000 0.5000
Ac1 0.7788 0.3102 0.0315
Ac2 0.2214 0.6899 0.4427
C1 0.0000 0.5000 0.0000
Ac3 0.2526 0.3102 0.0315
Ac4 0.7324 0.6973 0.4648
Ac5 0.2212 0.6898 0.9685
Pt2 0.5000 0.5000 0.0000
Br1 0.5000 0.0000 0.5000
Ac6 0.2676 0.3027 0.5352
Ac7 0.7474 0.6898 0.9685
Br2 0.0000 0.0000 0.5000
Pt3 0.0000 0.5000 0.5000
Br3 0.0000 0.0000 0.0000
Br4 0.5000 0.0000 0.0000
Ac8 0.7786 0.3101 0.5573

Values from the calculation:
symmetry = R-3m
E = -5.31 eV per atom
DOS at the Fermi energy = 10.3 states/eV/f.u.